Record 1
Here is crystalline TmTeMo at its relaxed geometry from Alexandria via LeMat-Bulk. Energies are from PBE.

The size of the total moment is 0.00 μB/f.u.

The structure belongs to space group P4/nmm (No. 129, origin choice 2); the cell edges are 3.766, 3.766 and 10.603 Å and the angles 90.00°, 90.00° and 90.00°. The distinct sites, in fractional coordinates, are Tm at (0.250, 0.250, 0.239), Te at (0.250, 0.250, 0.639) and Mo at (0.250, 0.250, 0.968).



Record 2
Here is crystalline VTe6Mo at its relaxed geometry from Alexandria via LeMat-Bulk. Energies are from PBE.

The size of the total moment is 1.21 μB/f.u.

The structure belongs to space group P-1 (No. 2); the cell edges are 6.230, 6.715 and 6.809 Å and the angles 69.00°, 64.70° and 62.67°. The distinct sites, in fractional coordinates, are V at (0.000, 0.000, 0.000), Te at (0.038, 0.784, 0.714), Te at (0.299, 0.602, 0.180), Te at (0.389, 0.117, 0.687) and Mo at (0.500, 0.500, 0.500).



Record 3
Here is crystalline V2Te4Mo at its relaxed geometry from Alexandria via LeMat-Bulk. Energies are from PBE.

The size of the total moment is 0.00 μB/f.u.

The structure belongs to space group C2/m (No. 12); the cell edges are 14.332, 3.530 and 6.670 Å and the angles 90.00°, 115.09° and 90.00°. The distinct sites, in fractional coordinates, are V at (0.245, 0.000, 0.175), Te at (0.103, 0.500, 0.946), Te at (0.144, 0.000, 0.475) and Mo at (0.000, 0.500, 0.500).



Record 4
Here is crystalline V2Te2Mo at its relaxed geometry from Alexandria via LeMat-Bulk. Energies are from PBE.

As for the offset from the most stable computed form: 0.000 eV/atom. The size of the total moment is 0.04 μB/f.u.

The structure belongs to space group P4/mbm (No. 127); the cell edges are 7.132, 7.132 and 3.538 Å and the angles 90.00°, 90.00° and 90.00°. The distinct sites, in fractional coordinates, are V at (0.132, 0.368, 0.000), Te at (0.169, 0.669, 0.500) and Mo at (0.000, 0.000, 0.000).



Record 5
Here is crystalline VTe3Mo at its relaxed geometry from Alexandria via LeMat-Bulk. Energies are from PBE.

As for the offset from the most stable computed form: 0.000 eV/atom. The size of the total moment is 0.01 μB/f.u.

The structure belongs to space group C2/c (No. 15); the cell edges are 13.467, 12.268 and 6.782 Å and the angles 90.00°, 119.54° and 90.00°. The distinct sites, in fractional coordinates, are V at (0.089, 0.091, 0.173), Te at (0.124, 0.274, 0.020), Te at (0.136, 0.110, 0.595), Te at (0.148, 0.412, 0.573), Mo at (0.000, 0.262, 0.250) and Mo at (0.000, 0.453, 0.750).



Record 6
Here is crystalline VTe3Mo at its relaxed geometry from Alexandria via LeMat-Bulk. Energies are from PBE.

As for the offset from the most stable computed form: 0.879 eV/atom. The size of the total moment is 4.18 μB/f.u.

The structure belongs to space group Pm-3m (No. 221); the cell edges are 5.305, 5.305 and 5.305 Å and the angles 90.00°, 90.00° and 90.00°. The distinct sites, in fractional coordinates, are V at (0.000, 0.000, 0.000), Te at (0.000, 0.500, 0.500) and Mo at (0.500, 0.500, 0.500).



Record 7
Here is crystalline V2TeMo at its relaxed geometry from Alexandria via LeMat-Bulk. Energies are from PBE.

The size of the total moment is 0.04 μB/f.u.

The structure belongs to space group I-42d (No. 122); the cell edges are 3.932, 3.932 and 18.237 Å and the angles 90.00°, 90.00° and 90.00°. The distinct sites, in fractional coordinates, are V at (0.231, 0.250, 0.125), Te at (0.000, 0.000, 0.000) and Mo at (0.000, 0.000, 0.500).



Record 8
Here is crystalline V2Te2Mo at its relaxed geometry from Alexandria via LeMat-Bulk. Energies are from PBE.

As for the offset from the most stable computed form: 0.217 eV/atom. The size of the total moment is 3.44 μB/f.u.

The structure belongs to space group I4/mmm (No. 139); the cell edges are 5.047, 5.047 and 7.984 Å and the angles 90.00°, 90.00° and 90.00°. The distinct sites, in fractional coordinates, are V at (0.000, 0.000, 0.120), Te at (0.000, 0.500, 0.250) and Mo at (0.000, 0.000, 0.500).



Energy relative to the elements, uncorrected values (in eV per atom) by entry order: -0.33 -0.04 -0.18 0.42 -0.05 0.83 0.66 0.63.
Calculated volume values (in A^3/atom) by entry order: 25.1 28.0 21.8 18.0 24.4 29.9 17.6 20.3.